VWS4 | PBE | optimized geometry

Properties
Relative energy among the computed polymorphs, meV/atom: 124
Formation energy (no corrections), meV per atom: -584

Geometry as CIF:
```
data_VWS4
_chemical_formula_sum 'V2 W2 S8'
_cell_length_a 6.437
_cell_length_b 5.312
_cell_length_c 6.812
_cell_angle_alpha 90.00
_cell_angle_beta 118.22
_cell_angle_gamma 90.00
_space_group_name_H-M_alt 'P 1 21/c 1'
_space_group_IT_number 14
loop_
_space_group_symop_operation_xyz
'x,y,z'
'-x,-y,-z'
'-x,y+1/2,-z+1/2'
'x,-y+1/2,z+1/2'
loop_
_atom_site_label
_atom_site_fract_x
_atom_site_fract_y
_atom_site_fract_z
V1 0.000 0.000 0.000
W1 0.500 0.000 0.000
S1 0.171 0.220 0.349
S2 0.322 0.721 0.152
```

***

V2WS4 | PBE | optimized geometry

Properties
Formation energy (no corrections), meV per atom: 45

Geometry as CIF:
```
data_V2WS4
_chemical_formula_sum 'V4 W2 S8'
_cell_length_a 4.760
_cell_length_b 4.760
_cell_length_c 11.822
_cell_angle_alpha 90.00
_cell_angle_beta 90.00
_cell_angle_gamma 90.00
_space_group_name_H-M_alt 'I 4/m m m'
_space_group_IT_number 139
_space_group_name_Hall '-I 4 2'
loop_
_atom_site_label
_atom_site_fract_x
_atom_site_fract_y
_atom_site_fract_z
V1 0.000 0.000 0.112
W1 0.000 0.000 0.500
S1 0.000 0.000 0.300
S2 0.000 0.500 0.000
```

***

V3WS4 | PBE | optimized geometry

Properties
Formation energy (no corrections), meV per atom: -476

Geometry as CIF:
```
data_V3WS4
_chemical_formula_sum 'V6 W2 S8'
_cell_length_a 8.779
_cell_length_b 4.696
_cell_length_c 5.842
_cell_angle_alpha 90.00
_cell_angle_beta 90.00
_cell_angle_gamma 90.00
_space_group_name_H-M_alt 'P m n 21'
_space_group_IT_number 31
loop_
_space_group_symop_operation_xyz
'x,y,z'
'-x+1/2,-y,z+1/2'
'-x,y,z'
'x+1/2,-y,z+1/2'
loop_
_atom_site_label
_atom_site_fract_x
_atom_site_fract_y
_atom_site_fract_z
V1 0.000 0.202 0.000
V2 0.230 0.156 0.624
W1 0.000 0.805 0.700
S1 0.000 0.213 0.430
S2 0.000 0.713 0.092
S3 0.241 0.674 0.496
```

***

V3WS | PBE | optimized geometry

Properties
Relative energy among the computed polymorphs, meV/atom: 0
Formation energy (no corrections), meV per atom: -13

Geometry as CIF:
```
data_V3WS
_chemical_formula_sum 'V6 W2 S2'
_cell_length_a 6.048
_cell_length_b 4.972
_cell_length_c 4.946
_cell_angle_alpha 90.00
_cell_angle_beta 90.00
_cell_angle_gamma 90.00
_space_group_name_H-M_alt 'P m n 21'
_space_group_IT_number 31
loop_
_space_group_symop_operation_xyz
'x,y,z'
'-x+1/2,-y,z+1/2'
'-x,y,z'
'x+1/2,-y,z+1/2'
loop_
_atom_site_label
_atom_site_fract_x
_atom_site_fract_y
_atom_site_fract_z
V1 0.000 0.169 0.000
V2 0.250 0.256 0.446
W1 0.000 0.833 0.383
S1 0.000 0.495 0.699
```

***

Y2VS2 | PBE | optimized geometry

Properties
Relative energy among the computed polymorphs, meV/atom: 56
Formation energy (no corrections), meV per atom: -610

Geometry as CIF:
```
data_Y2VS2
_chemical_formula_sum 'Y4 V2 S4'
_cell_length_a 4.651
_cell_length_b 4.651
_cell_length_c 12.730
_cell_angle_alpha 90.00
_cell_angle_beta 90.00
_cell_angle_gamma 90.00
_space_group_name_H-M_alt 'I 4/m m m'
_space_group_IT_number 139
_space_group_name_Hall '-I 4 2'
loop_
_atom_site_label
_atom_site_fract_x
_atom_site_fract_y
_atom_site_fract_z
Y1 0.000 0.000 0.146
V1 0.000 0.000 0.500
S1 0.000 0.500 0.250
```

***

Y2VS2 | PBE | optimized geometry

Properties
Relative energy among the computed polymorphs, meV/atom: 0
Formation energy (no corrections), meV per atom: -666

Geometry as CIF:
```
data_Y2VS2
_chemical_formula_sum 'Y4 V2 S4'
_cell_length_a 7.867
_cell_length_b 7.867
_cell_length_c 3.478
_cell_angle_alpha 90.00
_cell_angle_beta 90.00
_cell_angle_gamma 90.00
_space_group_name_H-M_alt 'P 4/m b m'
_space_group_IT_number 127
_space_group_name_Hall '-P 4 2ab'
loop_
_atom_site_label
_atom_site_fract_x
_atom_site_fract_y
_atom_site_fract_z
Y1 0.156 0.344 0.000
V1 0.000 0.000 0.000
S1 0.143 0.643 0.500
```

***

YV2S4 | PBE | optimized geometry

Properties
Relative energy among the computed polymorphs, meV/atom: 38
Formation energy (no corrections), meV per atom: -1119

Geometry as CIF:
```
data_YV2S4
_chemical_formula_sum 'Y4 V8 S16'
_cell_length_a 7.271
_cell_length_b 7.271
_cell_length_c 11.219
_cell_angle_alpha 90.00
_cell_angle_beta 90.00
_cell_angle_gamma 90.00
_space_group_name_H-M_alt 'I 41/a m d'
_space_group_IT_number 141
loop_
_space_group_symop_operation_xyz
'x,y,z'
'-x,-y,-z'
'-y+1/4,x+3/4,z+1/4'
'y+1/4,-x+3/4,-z+1/4'
'-x+1/2,-y,z+1/2'
'x+1/2,y,-z+1/2'
'y+1/4,-x+1/4,z+3/4'
'-y+1/4,x+1/4,-z+3/4'
'x,-y,-z'
'-x,y,z'
'-y+1/4,-x+1/4,-z+3/4'
'y+1/4,x+1/4,z+3/4'
'-x+1/2,y,-z+1/2'
'x+1/2,-y,z+1/2'
'y+1/4,x+3/4,-z+1/4'
'-y+1/4,-x+3/4,z+1/4'
'x+1/2,y+1/2,z+1/2'
'-x+1/2,-y+1/2,-z+1/2'
'-y+3/4,x+1/4,z+3/4'
'y+3/4,-x+1/4,-z+3/4'
'-x,-y+1/2,z'
'x,y+1/2,-z'
'y+3/4,-x+3/4,z+1/4'
'-y+3/4,x+3/4,-z+1/4'
'x+1/2,-y+1/2,-z+1/2'
'-x+1/2,y+1/2,z+1/2'
'-y+3/4,-x+3/4,-z+1/4'
'y+3/4,x+3/4,z+1/4'
'-x,y+1/2,-z'
'x,-y+1/2,z'
'y+3/4,x+1/4,-z+3/4'
'-y+3/4,-x+1/4,z+3/4'
loop_
_atom_site_label
_atom_site_fract_x
_atom_site_fract_y
_atom_site_fract_z
Y1 0.000 0.250 0.375
V1 0.000 0.000 0.000
S1 0.000 0.019 0.777
```

***

YV2S4 | PBE | optimized geometry

Properties
Relative energy among the computed polymorphs, meV/atom: 0
Formation energy (no corrections), meV per atom: -1158

Geometry as CIF:
```
data_YV2S4
_chemical_formula_sum 'Y4 V8 S16'
_cell_length_a 7.351
_cell_length_b 7.649
_cell_length_c 10.389
_cell_angle_alpha 90.00
_cell_angle_beta 90.00
_cell_angle_gamma 90.00
_space_group_name_H-M_alt 'I m m a'
_space_group_IT_number 74
_space_group_name_Hall '-I 2b 2'
loop_
_atom_site_label
_atom_site_fract_x
_atom_site_fract_y
_atom_site_fract_z
Y1 0.000 0.000 0.000
V1 0.000 0.250 0.363
V2 0.250 0.250 0.750
S1 0.000 0.026 0.739
S2 0.241 0.250 0.511
```

***

V4ZnS8 | PBE | optimized geometry

Properties
Relative energy among the computed polymorphs, meV/atom: 0
Formation energy (no corrections), meV per atom: -878

Geometry as CIF:
```
data_V4ZnS8
_chemical_formula_sum 'V16 Zn4 S32'
_cell_length_a 9.651
_cell_length_b 9.651
_cell_length_c 9.651
_cell_angle_alpha 90.00
_cell_angle_beta 90.00
_cell_angle_gamma 90.00
_space_group_name_H-M_alt 'F -4 3 m'
_space_group_IT_number 216
_space_group_name_Hall 'F -4 2 3'
loop_
_atom_site_label
_atom_site_fract_x
_atom_site_fract_y
_atom_site_fract_z
V1 0.106 0.106 0.106
Zn1 0.000 0.000 0.500
S1 0.129 0.129 0.871
S2 0.138 0.138 0.362
```

***

VZnS | PBE | optimized geometry

Properties
Relative energy among the computed polymorphs, meV/atom: 52
Formation energy (no corrections), meV per atom: -415

Geometry as CIF:
```
data_VZnS
_chemical_formula_sum 'V1 Zn1 S1'
_cell_length_a 3.0236
_cell_length_b 3.0236
_cell_length_c 5.9399
_cell_angle_alpha 90.00
_cell_angle_beta 90.00
_cell_angle_gamma 120.00
_space_group_name_H-M_alt 'P 3 m 1'
_space_group_IT_number 156
loop_
_space_group_symop_operation_xyz
'x,y,z'
'-y,x-y,z'
'-x+y,-x,z'
'-y,-x,z'
'-x+y,y,z'
'x,x-y,z'
loop_
_atom_site_label
_atom_site_fract_x
_atom_site_fract_y
_atom_site_fract_z
V1 0.0000 0.0000 0.0000
Zn1 0.3333 0.6667 0.6519
S1 0.3333 0.6667 0.2467
```

***

V4ZnS8 | PBE | optimized geometry

Properties
Relative energy among the computed polymorphs, meV/atom: 67
Formation energy (no corrections), meV per atom: -811

Geometry as CIF:
```
data_V4ZnS8
_chemical_formula_sum 'V12 Zn3 S24'
_cell_length_a 6.3928
_cell_length_b 6.3928
_cell_length_c 19.5264
_cell_angle_alpha 90.00
_cell_angle_beta 90.00
_cell_angle_gamma 120.00
_space_group_name_H-M_alt 'R -3 m'
_space_group_IT_number 166
_space_group_name_Hall '-R 3 2"'
loop_
_atom_site_label
_atom_site_fract_x
_atom_site_fract_y
_atom_site_fract_z
V1 0.0000 0.0000 0.0000
V2 0.0000 0.5000 0.0000
Zn1 0.0000 0.0000 0.5000
S1 0.0000 0.0000 0.2583
S2 0.0032 0.5016 0.2574
```

***

VZnS2 | PBE | optimized geometry

Properties
Formation energy (no corrections), meV per atom: -595

Geometry as CIF:
```
data_VZnS2
_chemical_formula_sum 'V4 Zn4 S8'
_cell_length_a 5.532
_cell_length_b 5.532
_cell_length_c 10.667
_cell_angle_alpha 90.00
_cell_angle_beta 90.00
_cell_angle_gamma 90.00
_space_group_name_H-M_alt 'I -4 2 d'
_space_group_IT_number 122
_space_group_name_Hall 'I -4 2bw'
loop_
_atom_site_label
_atom_site_fract_x
_atom_site_fract_y
_atom_site_fract_z
V1 0.000 0.000 0.000
Zn1 0.000 0.000 0.500
S1 0.247 0.250 0.625
```

***

In μB/cell, the total magnetization values for the records above are, in order, 2.08; 10.46; 0.03; 0.00; 8.83; 8.75; 20.00; 20.01; 0.00; 0.00; 1.88; 12.01.